Entry 1:
A relaxed structure of Mn2CrSb, computed with PBE.

Cell: 4.184 4.184 3.078 Å, 90.00 90.00 90.00°
Fractional positions:
Mn  0.000  0.500  0.000
Mn  0.500  0.000  0.000
Cr  0.000  0.000  0.500
Sb  0.500  0.500  0.500

## Properties
volume	53.9	Å³/f.u.
space-group type	P4/mmm (123)
uncorrected formation energy	0.29	eV/atom

---

Entry 2:
A relaxed structure of Ag2Te4I3, computed with PBE.

Cell: 4.398 6.943 11.210 Å, 73.64 86.28 75.08°
Fractional positions:
Ag  0.084  0.286  0.220
Ag  0.916  0.714  0.780
Te  0.373  0.720  0.938
Te  0.406  0.839  0.624
Te  0.594  0.161  0.376
Te  0.627  0.280  0.062
I  0.025  0.238  0.823
I  0.500  0.500  0.500
I  0.975  0.762  0.177

## Properties
volume	317.3	Å³/f.u.
space-group type	P-1 (2)
uncorrected formation energy	-0.01	eV/atom

---

Entry 3:
A relaxed structure of Al5Co6Ge, computed with PBE.

Cell: 6.409 6.409 5.695 Å, 90.00 90.00 143.17°
Fractional positions:
Al  0.000  0.000  0.000
Al  0.330  0.670  0.500
Al  0.333  0.667  0.000
Al  0.667  0.333  0.000
Al  0.670  0.330  0.500
Co  0.165  0.835  0.251
Co  0.165  0.835  0.749
Co  0.500  0.500  0.255
Co  0.500  0.500  0.745
Co  0.835  0.165  0.251
Co  0.835  0.165  0.749
Ge  0.000  0.000  0.500

## Properties
volume	140.2	Å³/f.u.
ΔH_f (0 K)	-50.7	kJ/mol of atoms
space-group type	Cmmm (65)

---

Entry 4:
A relaxed structure of LiDyNpS3, computed with PBE.

Cell: 8.075 3.806 8.367 Å, 90.00 102.52 90.00°
Fractional positions:
Li  0.087  0.250  0.079
Li  0.913  0.750  0.921
Dy  0.338  0.750  0.330
Dy  0.662  0.250  0.670
Np  0.173  0.250  0.709
Np  0.827  0.750  0.291
S  0.100  0.250  0.363
S  0.216  0.750  0.990
S  0.421  0.750  0.668
S  0.579  0.250  0.332
S  0.784  0.250  0.010
S  0.900  0.750  0.637

## Properties
volume	125.5	Å³/f.u.
space-group type	P2_1/m (11)
uncorrected formation energy	-1.55	eV/atom

---

Entry 5:
A relaxed structure of HfScHgGe2, computed with PBE.

Cell: 5.082 5.082 5.348 Å, 90.00 90.00 90.00°
Fractional positions:
Hf  0.000  0.000  0.000
Sc  0.500  0.500  0.000
Hg  0.000  0.000  0.500
Ge  0.000  0.500  0.500
Ge  0.500  0.000  0.500

## Properties
volume	138.1	Å³/f.u.
ΔH_f (0 K)	91.3	kJ/mol of atoms
space-group type	P4/mmm (123)

---

Q: Which value of volume does entry 1 give?
A: 53.9 Å³/f.u.